This record from the Alexandria database describes a geometry-optimized Hf2Sb2Cl structure. The functional is PBE-GGA.

Cell: 7.3323 7.3323 7.3323 Å, 143.36 143.36 52.79°
Last column: nearest neighbours and their distance in Å.
Positions (direct):
Hf1 0.1145 0.1145 0.0000  4 Sb 2.91, 1 Hf 3.01
Hf2 0.8855 0.8855 0.0000  4 Sb 2.91, 1 Hf 3.01
Sb1 0.2500 0.7500 0.5000  4 Hf 2.91, 4 Sb 3.26
Sb2 0.7500 0.2500 0.5000  4 Hf 2.91, 4 Sb 3.26
Cl1 0.5000 0.5000 0.0000  8 Hf 3.59, 8 Sb 4.01

Output
E ... -29.3 eV for the cell shown
Volume ... 139.6 Å³ per cell